Li2LaSm | Alexandria | GGA-PBE | relaxed; ΔH_f (0 K) = 0.15 eV per atom; density of states at the Fermi level = 1.756 states/eV/atom; offset from the most stable computed form = 0 meV per atom
1.0
3.844 0.000 0.000
0.000 3.844 0.000
0.000 0.000 7.601
Li Sm La
2 1 1
direct
0.000 0.000 0.756 Li
0.000 0.000 0.244 Li
0.500 0.500 0.000 Sm
0.500 0.500 0.500 La

---

LiLaSm | Alexandria | GGA-PBE | relaxed; ΔH_f (0 K) = 0.10 eV per atom; density of states at the Fermi level = 1.087 states/eV/atom; offset from the most stable computed form = 17 meV per atom
1.0
-2.290 2.600 -0.930
-0.860 -3.436 -0.569
-3.579 -0.386 7.735
Li Sm La
1 1 1
direct
0.000 0.000 0.004 Li
0.667 0.333 0.325 Sm
0.333 0.667 0.671 La

---

LiLaSm | Alexandria | GGA-PBE | relaxed; ΔH_f (0 K) = 0.19 eV per atom; density of states at the Fermi level = 1.247 states/eV/atom; offset from the most stable computed form = 102 meV per atom
1.0
3.601 0.991 -0.624
0.957 3.610 -0.624
-6.944 -7.011 15.589
Li La Sm
2 2 2
direct
0.905 0.905 0.535 Li
0.095 0.095 0.465 Li
0.631 0.631 0.896 La
0.369 0.369 0.104 La
0.889 0.889 0.694 Sm
0.111 0.111 0.306 Sm

---

Li2La2SmSn2 | Alexandria | GGA-PBE | relaxed; ΔH_f (0 K) = -0.50 eV per atom; density of states at the Fermi level = 0.611 states/eV/atom
1.0
4.825 0.000 0.000
2.413 4.179 0.000
2.413 1.393 9.271
Li La Sm Sn
2 2 1 2
direct
0.601 0.601 0.198 Li
0.399 0.399 0.802 Li
0.133 0.133 0.602 La
0.867 0.867 0.398 La
0.000 0.000 0.000 Sm
0.733 0.733 0.800 Sn
0.267 0.267 0.200 Sn

---

Li2LaSm2Sn2 | Alexandria | GGA-PBE | relaxed; ΔH_f (0 K) = -0.49 eV per atom; density of states at the Fermi level = 0.660 states/eV/atom
1.0
-2.479 1.433 3.934
2.152 0.004 4.363
2.705 9.181 1.369
Li La Sm Sn
2 1 2 2
direct
0.590 0.590 0.230 Li
0.410 0.410 0.770 Li
0.000 0.000 0.000 La
0.131 0.131 0.608 Sm
0.869 0.869 0.392 Sm
0.740 0.740 0.781 Sn
0.260 0.260 0.219 Sn

---

LiLaSmTc | Alexandria | GGA-PBE | relaxed; ΔH_f (0 K) = 0.05 eV per atom; density of states at the Fermi level = 0.797 states/eV/atom
1.0
5.080 0.000 0.000
2.540 4.400 0.000
2.540 1.467 4.148
Li Tc Sm La
1 1 1 1
direct
0.000 0.000 0.000 Li
0.500 0.500 0.500 Tc
0.750 0.750 0.750 Sm
0.250 0.250 0.250 La

---

Li3LaSm2Te6 | Alexandria | GGA-PBE | relaxed; raw formation energy = -1321.2 meV per atom
1.0
-0.141 5.867 -5.035
-1.406 -7.208 -2.421
-6.387 1.368 3.750
Li La Sm Te
3 1 2 6
direct
0.168 0.832 0.500 Li
0.832 0.168 0.500 Li
0.500 0.500 0.500 Li
0.000 0.000 0.000 La
0.333 0.667 0.000 Sm
0.667 0.333 0.000 Sm
0.913 0.573 0.739 Te
0.747 0.747 0.262 Te
0.087 0.427 0.261 Te
0.573 0.913 0.739 Te
0.253 0.253 0.738 Te
0.427 0.087 0.261 Te

---

LiLaSmTe3 | Alexandria | GGA-PBE | relaxed; density of states at the Fermi level = 0.508 states/eV/atom; raw formation energy = -1371.5 meV per atom
1.0
4.357 0.000 0.000
0.000 9.166 0.065
0.000 -2.350 9.361
Li La Sm Te
2 2 2 6
direct
0.250 0.086 0.587 Li
0.750 0.914 0.413 Li
0.250 0.187 0.231 La
0.750 0.813 0.769 La
0.250 0.666 0.156 Sm
0.750 0.334 0.844 Sm
0.750 0.908 0.127 Te
0.250 0.092 0.873 Te
0.250 0.775 0.498 Te
0.750 0.225 0.502 Te
0.750 0.431 0.182 Te
0.250 0.569 0.818 Te